Arrangement P

PBE-GGA HgF, relaxed; volume = 92 Å³/cell; space group = P6_3mc (186)
1.0
4.0493 0.0000 0.0000
-2.0246 3.5068 0.0000
0.0000 0.0000 6.5125
Hg F
2 2
Direct
0.3333 0.6667 0.0000
0.6667 0.3333 0.5000
0.3333 0.6667 0.6215
0.6667 0.3333 0.1215



Arrangement Q

PBE-GGA HgF, relaxed; volume = 37 Å³/cell; space group = Fm-3m (225)
1.0
0.0000 2.6527 2.6527
2.6527 0.0000 2.6527
2.6527 2.6527 0.0000
Hg F
1 1
Direct
0.0000 0.0000 0.0000
0.5000 0.5000 0.5000



Which one sits at the bottom of the stability order? arrangement Q does.



Arrangement P

PBE-GGA HgF, relaxed; volume = 235 Å³/cell; space group = I-43m (217)
1.0
-3.8853 3.8853 3.8853
3.8853 -3.8853 3.8853
3.8853 3.8853 -3.8853
Hg F
4 4
Direct
0.0000 0.0000 0.2740
0.0000 0.2740 0.0000
0.2740 0.0000 0.0000
0.7260 0.7260 0.7260
0.0000 0.0000 0.6014
0.0000 0.6014 0.0000
0.3986 0.3986 0.3986
0.6014 0.0000 0.0000



Arrangement Q

PBE-GGA HgF, relaxed; volume = 343 Å³/cell; space group = Pm-3n (223)
1.0
7.0002 0.0000 0.0000
0.0000 7.0002 0.0000
0.0000 0.0000 7.0002
Hg F
6 6
Direct
0.0000 0.2500 0.5000
0.0000 0.7500 0.5000
0.2500 0.5000 0.0000
0.5000 0.0000 0.2500
0.5000 0.0000 0.7500
0.7500 0.5000 0.0000
0.0000 0.5000 0.2500
0.0000 0.5000 0.7500
0.2500 0.0000 0.5000
0.5000 0.2500 0.0000
0.5000 0.7500 0.0000
0.7500 0.0000 0.5000



Arrangement R

PBE-GGA HgF, relaxed; volume = 318 Å³/cell; space group = P2_12_12_1 (19)
1.0
5.0453 0.0000 0.0000
0.0000 7.7306 0.0000
0.0000 0.0000 8.1580
Hg F
8 8
Direct
0.1864 0.0462 0.0123
0.1928 0.3053 0.5821
0.3072 0.6947 0.0821
0.3136 0.9538 0.5123
0.6864 0.4538 0.9877
0.6928 0.1947 0.4179
0.8072 0.8053 0.9179
0.8136 0.5462 0.4877
0.0204 0.2862 0.8747
0.0331 0.5030 0.2063
0.4670 0.4970 0.7063
0.4796 0.7138 0.3747
0.5204 0.2138 0.1253
0.5330 0.9970 0.7937
0.9670 0.0030 0.2937
0.9796 0.7862 0.6253



Which one sits at the bottom of the stability order? arrangement Q does.



Arrangement P

PBE-GGA HgF, relaxed; volume = 254 Å³/cell; space group = Pmn2_1 (31)
1.0
8.6310 0.0000 0.0000
0.0000 3.3427 0.0000
0.0000 0.0000 8.7893
Hg F
6 6
Direct
0.0000 0.1923 0.0000
0.2393 0.4565 0.6210
0.2607 0.5435 0.1210
0.5000 0.8077 0.5000
0.7393 0.5435 0.1210
0.7607 0.4565 0.6210
0.0000 0.3118 0.5387
0.1790 0.9675 0.8131
0.3210 0.0325 0.3131
0.5000 0.6882 0.0387
0.6790 0.0325 0.3131
0.8210 0.9675 0.8131



Arrangement Q

PBE-GGA HgF, relaxed; volume = 201 Å³/cell; space group = Pmmn (59)
1.0
3.4292 0.0000 0.0000
0.0000 12.3888 0.0000
0.0000 0.0000 4.7309
Hg F
6 6
Direct
0.2500 0.0831 0.1700
0.2500 0.4169 0.1700
0.2500 0.7500 0.1724
0.7500 0.2500 0.8276
0.7500 0.5831 0.8300
0.7500 0.9169 0.8300
0.2500 0.2500 0.4326
0.2500 0.5835 0.4361
0.2500 0.9165 0.4361
0.7500 0.0835 0.5639
0.7500 0.4165 0.5639
0.7500 0.7500 0.5674



Which one sits at the bottom of the stability order? arrangement Q does.



Arrangement P

PBE-GGA HgF, relaxed; volume = 212 Å³/cell; space group = I4/m (87)
1.0
-5.4332 5.4332 1.7960
5.4332 -5.4332 1.7960
5.4332 5.4332 -1.7960
Hg F
4 4
Direct
0.1716 0.3091 0.4807
0.3091 0.8284 0.1375
0.6909 0.1716 0.8625
0.8284 0.6909 0.5193
0.1825 0.5257 0.7081
0.4743 0.1825 0.6568
0.5257 0.8175 0.3432
0.8175 0.4743 0.2919



Arrangement Q

PBE-GGA HgF, relaxed; volume = 184 Å³/cell; space group = P-1 (2)
1.0
4.5082 0.0000 0.0000
2.2171 5.6741 0.0000
1.7951 0.8235 7.2036
Hg F
4 4
Direct
0.0452 0.0989 0.2757
0.2924 0.6517 0.2345
0.7076 0.3483 0.7655
0.9548 0.9011 0.7243
0.1652 0.5376 0.6551
0.4990 0.2924 0.1491
0.5010 0.7076 0.8509
0.8348 0.4624 0.3449



Arrangement R

PBE-GGA HgF, relaxed; volume = 81 Å³/cell; space group = I4/mmm (139)
1.0
-1.9165 1.9165 5.5063
1.9165 -1.9165 5.5063
1.9165 1.9165 -5.5063
Hg F
2 2
Direct
0.1171 0.1171 0.0000
0.8829 0.8829 0.0000
0.3143 0.3143 0.0000
0.6857 0.6857 0.0000



Arrangement S

PBE-GGA HgF, relaxed; volume = 301 Å³/cell; space group = P6_3/m (176)
1.0
9.8416 0.0000 0.0000
-4.9208 8.5230 0.0000
0.0000 0.0000 3.5886
Hg F
6 6
Direct
0.0207 0.4028 0.2500
0.3821 0.9793 0.2500
0.4028 0.3821 0.7500
0.5972 0.6179 0.2500
0.6179 0.0207 0.7500
0.9793 0.5972 0.7500
0.1456 0.3469 0.7500
0.2013 0.8544 0.7500
0.3469 0.2013 0.2500
0.6531 0.7987 0.7500
0.7987 0.1456 0.2500
0.8544 0.6531 0.2500



Which one sits at the bottom of the stability order? arrangement S does.



Arrangement P

PBE-GGA HgF, relaxed; volume = 81 Å³/cell; space group = Cmcm (63)
1.0
2.3177 -4.8224 0.0000
2.3177 4.8224 0.0000
0.0000 0.0000 3.6014
Hg F
2 2
Direct
0.1101 0.8899 0.7500
0.8899 0.1101 0.2500
0.2793 0.7207 0.2500
0.7207 0.2793 0.7500



Arrangement Q

PBE-GGA HgF, relaxed; volume = 72 Å³/cell; space group = Cmcm (63)
1.0
2.0273 -5.2489 0.0000
2.0273 5.2489 0.0000
0.0000 0.0000 3.3921
Hg F
2 2
Direct
0.1058 0.8942 0.7500
0.8942 0.1058 0.2500
0.3189 0.6811 0.7500
0.6811 0.3189 0.2500



Arrangement R

PBE-GGA HgF, relaxed; volume = 46 Å³/cell; space group = F-43m (216)
1.0
0.0000 2.8459 2.8459
2.8459 0.0000 2.8459
2.8459 2.8459 0.0000
Hg F
1 1
Direct
0.0000 0.0000 0.0000
0.2500 0.2500 0.2500



Which one sits at the bottom of the stability order? arrangement R does.



Arrangement P

PBE-GGA HgF4, relaxed; volume = 80 Å³/cell; space group = Pm-3m (221)
1.0
4.3017 0.0000 0.0000
0.0000 4.3017 0.0000
0.0000 0.0000 4.3017
Hg F
1 4
Direct
0.0000 0.0000 0.0000
0.0000 0.0000 0.5000
0.0000 0.5000 0.0000
0.5000 0.0000 0.0000
0.5000 0.5000 0.5000



Arrangement Q

PBE-GGA HgF4, relaxed; volume = 185 Å³/cell; space group = C2/m (12)
1.0
5.6176 -3.0117 0.0000
5.6176 3.0117 0.0000
-0.1566 0.0000 5.4563
Hg F
2 8
Direct
0.1598 0.1598 0.4970
0.8402 0.8402 0.5030
0.0040 0.0040 0.7424
0.0069 0.5007 0.7436
0.4397 0.4397 0.9538
0.4993 0.9931 0.2564
0.5007 0.0069 0.7436
0.5603 0.5603 0.0462
0.9931 0.4993 0.2564
0.9960 0.9960 0.2576



Arrangement R

PBE-GGA HgF4, relaxed; volume = 169 Å³/cell; space group = Fdd2 (43)
1.0
0.0000 5.5173 2.9453
5.1887 0.0000 2.9453
5.1887 5.5173 0.0000
Hg F
2 8
Direct
0.0000 0.0000 0.0000
0.2500 0.2500 0.2500
0.1075 0.3608 0.6393
0.1405 0.8911 0.6127
0.3577 0.6107 0.8892
0.3608 0.1075 0.8923
0.6107 0.3577 0.1425
0.6373 0.8943 0.1095
0.8911 0.1405 0.3557
0.8943 0.6373 0.3589



Which one sits at the bottom of the stability order? arrangement P does.



Arrangement P

PBE-GGA HgF5, relaxed; volume = 80 Å³/cell; space group = Cmmm (65)
1.0
1.7487 -4.5362 0.0000
1.7487 4.5362 0.0000
0.0000 0.0000 5.0249
Hg F
1 5
Direct
0.0000 0.0000 0.0000
0.1424 0.8576 0.5000
0.3587 0.6413 0.0000
0.5000 0.5000 0.5000
0.6413 0.3587 0.0000
0.8576 0.1424 0.5000



Arrangement Q

PBE-GGA HgF5, relaxed; volume = 106 Å³/cell; space group = P1 (1)
1.0
3.3286 0.0000 0.0000
-1.0761 4.6541 0.0000
-1.2215 -2.1175 6.8691
Hg F
1 5
Direct
0.0000 0.0000 0.0000
0.3358 0.6566 0.8834
0.5402 0.2325 0.8754
0.6153 0.1096 0.2183
0.6533 0.8777 0.5559
0.6661 0.5979 0.4285



Which one sits at the bottom of the stability order? arrangement P does.



Arrangement P

PBE-GGA Hg2F, relaxed; volume = 133 Å³/cell; space group = Fd-3m (227)
1.0
0.0000 4.0533 4.0533
4.0533 0.0000 4.0533
4.0533 4.0533 0.0000
Hg F
4 2
Direct
0.0000 0.0000 0.0000
0.0000 0.0000 0.5000
0.0000 0.5000 0.0000
0.5000 0.0000 0.0000
0.3750 0.3750 0.3750
0.6250 0.6250 0.6250



Arrangement Q

PBE-GGA Hg2F, relaxed; volume = 152 Å³/cell; space group = P1 (1)
1.0
4.9468 0.0000 0.0000
2.1569 5.3946 0.0000
1.4958 0.0584 5.7014
Hg F
4 2
Direct
0.0000 0.0000 0.0000
0.1519 0.1620 0.3389
0.3064 0.3512 0.6584
0.6608 0.6686 0.3313
0.3459 0.5366 0.9451
0.8238 0.9697 0.7013



Which one sits at the bottom of the stability order? arrangement P does.